The following is a PBE calculation of a relaxed Pr4InSn2 crystal, from the Alexandria database.

Results
Magnetization = 0.0 Bohr magnetons per cell
Formation enthalpy at 0 K = -0.50 eV per atom

a = 5.9633 Å, b = 6.7512 Å, c = 11.5030 Å
α = 90.00°, β = 109.72°, γ = 90.00°
Positions (direct):
Pr  0.4196  0.4848  0.7381
Pr  0.5804  0.5152  0.2619
Pr  0.5804  0.9848  0.2619
Pr  0.0248  0.7500  0.8763
Pr  0.7994  0.2500  0.5494
Pr  0.2006  0.7500  0.4506
Pr  0.9752  0.2500  0.1237
Pr  0.4196  0.0152  0.7381
In  0.9386  0.2500  0.8299
In  0.0614  0.7500  0.1701
Sn  0.4060  0.2500  0.0007
Sn  0.5940  0.7500  0.9993
Sn  0.2191  0.2500  0.4323
Sn  0.7809  0.7500  0.5677

***

The following is a PBE calculation of a relaxed Dy6CCl12 crystal, from the Alexandria database.

Results
E_form (uncorrected) = -1.755 eV per atom
Magnetization = 0.0 Bohr magnetons per cell

a = 8.0092 Å, b = 8.0092 Å, c = 8.0092 Å
α = 73.20°, β = 73.20°, γ = 73.20°
Positions (direct):
Cl  0.8816  0.8816  0.4297
Cl  0.8816  0.4297  0.8816
Cl  0.1719  0.5622  0.5622
Cl  0.4378  0.4378  0.8281
Cl  0.4297  0.8816  0.8816
Cl  0.1184  0.1184  0.5703
Cl  0.4378  0.8281  0.4378
Cl  0.8281  0.4378  0.4378
Cl  0.5622  0.1719  0.5622
Cl  0.1184  0.5703  0.1184
Cl  0.5622  0.5622  0.1719
Cl  0.5703  0.1184  0.1184
Dy  0.2149  0.2149  0.8169
Dy  0.2149  0.8169  0.2149
Dy  0.7851  0.1831  0.7851
Dy  0.1831  0.7851  0.7851
Dy  0.8169  0.2149  0.2149
Dy  0.7851  0.7851  0.1831
C  0.0000  0.0000  0.0000

***

The following is a PBE calculation of a relaxed Li2YCu2 crystal, from the Alexandria database.

Results
Magnetization = 0.0 Bohr magnetons per cell
Excess energy over the best structure of this formula in the dataset = 98 meV/atom
Formation enthalpy at 0 K = 0.00 eV per atom

a = 4.4590 Å, b = 4.4590 Å, c = 5.3491 Å
α = 65.37°, β = 65.37°, γ = 90.00°
Positions (direct):
Cu  0.2500  0.7500  0.5000
Cu  0.7500  0.2500  0.5000
Li  0.3632  0.3632  0.2735
Li  0.6368  0.6368  0.7265
Y  0.0000  0.0000  0.0000

***

The following is a PBE calculation of a relaxed Sb2CN crystal, from the Alexandria database.

Results
E_form (uncorrected) = 1.803 eV per atom
Magnetization = 0.0 Bohr magnetons per cell
Excess energy over the best structure of this formula in the dataset = 600 meV/atom

a = 4.3458 Å, b = 4.3458 Å, c = 4.3458 Å
α = 60.00°, β = 60.00°, γ = 60.00°
Positions (direct):
Sb  0.7500  0.7500  0.7500
Sb  0.2500  0.2500  0.2500
N  0.5000  0.5000  0.5000
C  0.0000  0.0000  0.0000

***

The following is a PBE calculation of a relaxed BaTaAl4 crystal, from the Alexandria database.

Results
Magnetization = 0.6 Bohr magnetons per cell
Formation enthalpy at 0 K = 0.18 eV per atom

a = 5.5694 Å, b = 5.5694 Å, c = 5.5694 Å
α = 60.00°, β = 60.00°, γ = 60.00°
Site moments in Bohr magnetons follow the coordinates.
Positions (direct):
Al  0.8775  0.3742  0.3742  -0.01
Al  0.3742  0.3742  0.8775  -0.01
Al  0.3742  0.8775  0.3742  -0.01
Al  0.3742  0.3742  0.3742  -0.01
Ta  0.0000  0.0000  0.0000  0.42
Ba  0.7500  0.7500  0.7500  0.05

***

The following is a PBE calculation of a relaxed Dy4Tl3Cd2 crystal, from the Alexandria database.

Results
Magnetization = 0.0 Bohr magnetons per cell
Formation enthalpy at 0 K = -0.24 eV per atom

a = 5.2051 Å, b = 5.2063 Å, c = 10.4273 Å
α = 89.97°, β = 90.00°, γ = 60.01°
Positions (direct):
Dy  0.0003  0.9994  0.3277
Dy  0.9997  0.0006  0.6723
Dy  0.3335  0.3331  0.1102
Dy  0.6665  0.6669  0.8898
Cd  0.6669  0.6663  0.2067
Cd  0.3331  0.3337  0.7933
Tl  0.6665  0.6670  0.5611
Tl  0.0000  0.0000  0.0000
Tl  0.3335  0.3330  0.4389

***

The following is a PBE calculation of a relaxed TiCuSiPd crystal, from the Alexandria database.

Results
E_form (uncorrected) = -0.412 eV per atom
Magnetization = 0.0 Bohr magnetons per cell

a = 4.2967 Å, b = 4.2967 Å, c = 4.2967 Å
α = 60.00°, β = 60.00°, γ = 60.00°
Positions (direct):
Si  0.5000  0.5000  0.5000
Pd  0.7500  0.7500  0.7500
Cu  0.0000  0.0000  0.0000
Ti  0.2500  0.2500  0.2500

***

The following is a PBE calculation of a relaxed KSr2Tl crystal, from the Alexandria database.

Results
Magnetization = 0.0 Bohr magnetons per cell
Formation enthalpy at 0 K = 0.03 eV per atom

a = 6.2259 Å, b = 6.2259 Å, c = 6.2259 Å
α = 60.00°, β = 60.00°, γ = 60.00°
Positions (direct):
Sr  0.0000  0.0000  0.0000
Sr  0.2500  0.2500  0.2500
K  0.5000  0.5000  0.5000
Tl  0.7500  0.7500  0.7500

***

The following is a PBE calculation of a relaxed NdZnAs2 crystal, from the Alexandria database.

Results
Magnetization = 0.0 Bohr magnetons per cell
Excess energy over the best structure of this formula in the dataset = 354 meV/atom
Formation enthalpy at 0 K = -0.37 eV per atom

a = 4.3793 Å, b = 4.3793 Å, c = 8.2626 Å
α = 74.63°, β = 74.63°, γ = 60.00°
Positions (direct):
Zn  0.0000  0.0000  0.0000
As  0.9017  0.9017  0.2948
As  0.0983  0.0983  0.7052
Nd  0.5000  0.5000  0.5000

***

The following is a PBE calculation of a relaxed LiMn2Os crystal, from the Alexandria database.

Results
Magnetization = 0.5 Bohr magnetons per cell
Formation enthalpy at 0 K = 0.23 eV per atom

a = 2.5668 Å, b = 3.8130 Å, c = 5.1977 Å
α = 90.00°, β = 90.00°, γ = 90.00°
Site moments in Bohr magnetons follow the coordinates.
Positions (direct):
Mn  0.0000  0.0000  0.9933  2.81
Mn  0.5000  0.5000  0.2516  -2.35
Os  0.0000  0.0000  0.5024  0.03
Li  0.5000  0.5000  0.7527  -0.02

***

The following is a PBE calculation of a relaxed Tb2MgGa2Rh5 crystal, from the Alexandria database.

Results
Magnetization = 0.0 Bohr magnetons per cell
Formation enthalpy at 0 K = -0.74 eV per atom

a = 3.5379 Å, b = 9.8833 Å, c = 9.8833 Å
α = 90.00°, β = 90.00°, γ = 90.00°
Positions (direct):
Rh  0.5000  0.9318  0.2059
Rh  0.5000  0.4318  0.2941
Rh  0.5000  0.7059  0.4318
Rh  0.5000  0.2059  0.0682
Rh  0.5000  0.2941  0.5682
Rh  0.5000  0.5682  0.7059
Rh  0.5000  0.0682  0.7941
Rh  0.5000  0.5000  0.0000
Rh  0.5000  0.7941  0.9318
Rh  0.5000  0.0000  0.5000
Ga  0.0000  0.8752  0.3752
Ga  0.0000  0.3752  0.1248
Ga  0.0000  0.6248  0.8752
Ga  0.0000  0.1248  0.6248
Mg  0.0000  0.5000  0.5000
Mg  0.0000  0.0000  0.0000
Tb  0.0000  0.6738  0.1738
Tb  0.0000  0.1738  0.3262
Tb  0.0000  0.8262  0.6738
Tb  0.0000  0.3262  0.8262

***

The following is a PBE calculation of a relaxed BaPbC3 crystal, from the Alexandria database.

Results
Magnetization = 0.0 Bohr magnetons per cell
Excess energy over the best structure of this formula in the dataset = 0 meV/atom
Formation enthalpy at 0 K = 2.38 eV per atom

a = 4.6339 Å, b = 4.6339 Å, c = 4.6339 Å
α = 90.00°, β = 90.00°, γ = 90.00°
Positions (direct):
C  0.0000  0.0000  0.5000
C  0.5000  0.0000  0.0000
C  0.0000  0.5000  0.0000
Pb  0.0000  0.0000  0.0000
Ba  0.5000  0.5000  0.5000

***

The following is a PBE calculation of a relaxed BeNiIr2 crystal, from the Alexandria database.

Results
Magnetization = 0.0 Bohr magnetons per cell
Formation enthalpy at 0 K = 0.37 eV per atom

a = 3.6631 Å, b = 3.6631 Å, c = 8.6359 Å
α = 77.76°, β = 77.76°, γ = 90.00°
Positions (direct):
Ir  0.1315  0.6250  0.2500
Ir  0.6185  0.1250  0.2500
Ir  0.8750  0.8685  0.7500
Ir  0.3750  0.3815  0.7500
Ni  0.0000  0.0000  0.0000
Ni  0.7500  0.2500  0.5000
Be  0.5000  0.5000  0.0000
Be  0.2500  0.7500  0.5000

***

The following is a PBE calculation of a relaxed RbCaAg3 crystal, from the Alexandria database.

Results
Magnetization = 0.0 Bohr magnetons per cell
Excess energy over the best structure of this formula in the dataset = 517 meV/atom
Formation enthalpy at 0 K = 0.80 eV per atom

a = 5.8096 Å, b = 5.8096 Å, c = 5.8096 Å
α = 90.00°, β = 90.00°, γ = 90.00°
Positions (direct):
Rb  0.0000  0.0000  0.0000
Ag  0.0000  0.0000  0.5000
Ag  0.0000  0.5000  0.0000
Ag  0.5000  0.0000  0.0000
Ca  0.5000  0.5000  0.5000

***

The following is a PBE calculation of a relaxed Tl6SeI2Cl2 crystal, from the Alexandria database.

Results
E_form (uncorrected) = -0.680 eV per atom
Magnetization = 0.0 Bohr magnetons per cell

a = 8.2725 Å, b = 8.2725 Å, c = 8.5771 Å
α = 100.23°, β = 100.23°, γ = 127.25°
Positions (direct):
Tl  0.4270  0.1176  0.7354
Tl  0.2648  0.2648  0.3082
Tl  0.5730  0.8824  0.2646
Tl  0.8824  0.5730  0.2646
Tl  0.1176  0.4270  0.7354
Tl  0.7352  0.7352  0.6918
I  0.1483  0.8517  0.0000
I  0.8517  0.1483  0.0000
Cl  0.2962  0.7038  0.5000
Cl  0.7038  0.2962  0.5000
Se  0.0000  0.0000  0.5000

***

The following is a PBE calculation of a relaxed CaBeB2 crystal, from the Alexandria database.

Results
Magnetization = 0.0 Bohr magnetons per cell
Formation enthalpy at 0 K = 0.21 eV per atom

a = 3.8619 Å, b = 3.8619 Å, c = 7.1788 Å
α = 74.40°, β = 74.40°, γ = 90.00°
Positions (direct):
B  0.3750  0.6250  0.7500
B  0.3750  0.1250  0.2500
B  0.8750  0.6250  0.7500
B  0.3750  0.6250  0.2500
Be  0.5000  0.5000  0.0000
Be  0.2500  0.7500  0.5000
Ca  0.7500  0.2500  0.5000
Ca  0.0000  0.0000  0.0000

***

The following is a PBE calculation of a relaxed V2FeCo2 crystal, from the Alexandria database.

Results
Magnetization = 3.6 Bohr magnetons per cell
Excess energy over the best structure of this formula in the dataset = 86 meV/atom
Formation enthalpy at 0 K = -0.01 eV per atom

a = 6.6386 Å, b = 6.6386 Å, c = 2.7295 Å
α = 90.00°, β = 90.00°, γ = 90.00°
Site moments in Bohr magnetons follow the coordinates.
Positions (direct):
Fe  0.5000  0.5000  0.0000  2.24
Fe  0.0000  0.0000  0.0000  2.24
Co  0.3689  0.8689  0.0000  0.22
Co  0.1311  0.3689  0.0000  0.22
Co  0.8689  0.6311  0.0000  0.22
Co  0.6311  0.1311  0.0000  0.22
V  0.6711  0.8289  0.5000  -0.39
V  0.8289  0.3289  0.5000  -0.39
V  0.1711  0.6711  0.5000  -0.39
V  0.3289  0.1711  0.5000  -0.39

***

The following is a PBE calculation of a relaxed InNiCl2 crystal, from the Alexandria database.

Results
E_form (uncorrected) = -0.456 eV per atom
Magnetization = 0.9 Bohr magnetons per cell
Excess energy over the best structure of this formula in the dataset = 17 meV/atom

a = 8.5362 Å, b = 8.5362 Å, c = 8.5362 Å
α = 24.06°, β = 24.06°, γ = 24.06°
Site moments in Bohr magnetons follow the coordinates.
Positions (direct):
Ni  0.7480  0.7480  0.7480  0.76
In  0.4875  0.4875  0.4875  0.00
Cl  0.0369  0.0369  0.0369  0.12
Cl  0.2276  0.2276  0.2276  0.01

***

The following is a PBE calculation of a relaxed Pm4Si5B2 crystal, from the Alexandria database.

Results
E_form (uncorrected) = -0.572 eV per atom
Magnetization = 0.0 Bohr magnetons per cell

a = 4.3598 Å, b = 6.4569 Å, c = 7.3346 Å
α = 88.72°, β = 90.00°, γ = 90.00°
Positions (direct):
Pm  0.5000  0.7507  0.6180
Pm  0.5000  0.2493  0.3820
Pm  0.5000  0.2281  0.8667
Pm  0.5000  0.7719  0.1333
Si  0.0000  0.1018  0.1379
Si  0.0000  0.8982  0.8621
Si  0.0000  0.3968  0.6383
Si  0.0000  0.5000  0.0000
Si  0.0000  0.6032  0.3617
B  0.0000  0.9297  0.3973
B  0.0000  0.0703  0.6027

***

The following is a PBE calculation of a relaxed Zn2IrOs2 crystal, from the Alexandria database.

Results
Magnetization = 0.0 Bohr magnetons per cell
Excess energy over the best structure of this formula in the dataset = 0 meV/atom
Formation enthalpy at 0 K = 0.59 eV per atom

a = 7.2010 Å, b = 7.2010 Å, c = 2.7720 Å
α = 90.00°, β = 90.00°, γ = 90.00°
Positions (direct):
Os  0.8177  0.3177  0.5000
Os  0.1823  0.6823  0.5000
Os  0.3177  0.1823  0.5000
Os  0.6823  0.8177  0.5000
Zn  0.1175  0.3825  0.0000
Zn  0.8825  0.6175  0.0000
Zn  0.6175  0.1175  0.0000
Zn  0.3825  0.8825  0.0000
Ir  0.5000  0.5000  0.0000
Ir  0.0000  0.0000  0.0000

***

The following is a PBE calculation of a relaxed BeCrSb2 crystal, from the Alexandria database.

Results
E_form (uncorrected) = 0.367 eV per atom
Magnetization = 2.9 Bohr magnetons per cell

a = 7.0212 Å, b = 7.0212 Å, c = 7.0212 Å
α = 30.42°, β = 30.42°, γ = 30.42°
Site moments in Bohr magnetons follow the coordinates.
Positions (direct):
Be  0.2500  0.2500  0.2500  0.02
Sb  0.9948  0.9948  0.9948  -0.12
Sb  0.5052  0.5052  0.5052  -0.12
Cr  0.7500  0.7500  0.7500  3.01

***

The following is a PBE calculation of a relaxed CaZrF2 crystal, from the Alexandria database.

Results
E_form (uncorrected) = -1.867 eV per atom
Magnetization = 0.0 Bohr magnetons per cell
Excess energy over the best structure of this formula in the dataset = 534 meV/atom

a = 8.0656 Å, b = 8.0656 Å, c = 8.0656 Å
α = 23.07°, β = 23.07°, γ = 23.07°
Positions (direct):
F  0.9022  0.9022  0.9022
F  0.0978  0.0978  0.0978
Ca  0.0000  0.0000  0.0000
Zr  0.5000  0.5000  0.5000

***

The following is a PBE calculation of a relaxed HoZn10Ga2 crystal, from the Alexandria database.

Results
Magnetization = 0.0 Bohr magnetons per cell
Formation enthalpy at 0 K = -0.12 eV per atom

a = 6.8714 Å, b = 6.8714 Å, c = 9.0643 Å
α = 90.00°, β = 90.00°, γ = 99.90°
Positions (direct):
Zn  0.2199  0.2199  0.0000
Zn  0.7801  0.7801  0.5000
Zn  0.2199  0.2199  0.5000
Zn  0.6027  0.3973  0.5791
Zn  0.7667  0.5203  0.2500
Zn  0.7801  0.7801  0.0000
Zn  0.3770  0.1414  0.7500
Zn  0.2334  0.4797  0.7500
Zn  0.6027  0.3973  0.9209
Zn  0.3973  0.6027  0.0791
Zn  0.1507  0.8493  0.6044
Zn  0.8493  0.1507  0.3956
Zn  0.8586  0.6230  0.7500
Zn  0.3973  0.6027  0.4209
Zn  0.5203  0.7667  0.7500
Zn  0.8493  0.1507  0.1044
Zn  0.1414  0.3770  0.2500
Zn  0.1507  0.8493  0.8956
Zn  0.4797  0.2334  0.2500
Zn  0.6230  0.8586  0.2500
Ho  0.8667  0.1333  0.7500
Ho  0.1333  0.8667  0.2500
Ga  0.5000  0.0000  0.5000
Ga  0.5000  0.0000  0.0000
Ga  0.0000  0.5000  0.0000
Ga  0.0000  0.5000  0.5000

***

The following is a PBE calculation of a relaxed AlReHg2 crystal, from the Alexandria database.

Results
Magnetization = 0.3 Bohr magnetons per cell
Formation enthalpy at 0 K = 0.62 eV per atom

a = 9.4254 Å, b = 9.4254 Å, c = 9.4254 Å
α = 18.43°, β = 18.43°, γ = 18.43°
Site moments in Bohr magnetons follow the coordinates.
Positions (direct):
Hg  0.0007  0.0007  0.0007  0.00
Hg  0.4993  0.4993  0.4993  0.00
Al  0.7500  0.7500  0.7500  0.00
Re  0.2500  0.2500  0.2500  0.23

***

Number 1: VASP energy -4.769 eV per atom. Number 2: VASP energy -4.860 eV per atom. Number 3: VASP energy -3.695 eV per atom. Number 4: VASP energy -4.646 eV per atom. Number 5: VASP energy -4.609 eV per atom. Number 6: VASP energy -3.277 eV per atom. Number 7: VASP energy -6.064 eV per atom. Number 8: VASP energy -1.673 eV per atom. Number 9: VASP energy -4.206 eV per atom. Number 10: VASP energy -7.644 eV per atom. Number 11: VASP energy -6.111 eV per atom. Number 12: VASP energy -4.283 eV per atom. Number 13: VASP energy -6.441 eV per atom. Number 14: VASP energy -1.501 eV per atom. Number 15: VASP energy -2.905 eV per atom. Number 16: VASP energy -4.561 eV per atom. Number 17: VASP energy -8.192 eV per atom. Number 18: VASP energy -3.509 eV per atom. Number 19: VASP energy -5.979 eV per atom. Number 20: VASP energy -6.180 eV per atom. Number 21: VASP energy -5.031 eV per atom. Number 22: VASP energy -5.440 eV per atom. Number 23: VASP energy -1.920 eV per atom. Number 24: VASP energy -3.581 eV per atom.